Density functional theory data (PBE) for Li4Cd2Pd after structural relaxation.

Lattice parameters (Å, degrees): 5.721 5.721 5.644 120.38 120.38 90.12
Element x y z (fractional)
1 Cd 0.714 0.286 0.500
2 Li 0.164 0.254 0.000
3 Li 0.746 0.836 0.000
4 Pd 0.213 0.787 0.000
5 Li 0.265 0.317 0.582
6 Li 0.683 0.735 0.418
7 Cd 0.214 0.786 0.500

Energy above the most stable polymorph in this dataset in eV/atom: 0.005
Crystal system: orthorhombic
Energy of formation in eV per atom: -0.25